*i*
The following is a PBE-GGA calculation of Ho3AlNi3 after structural relaxation, from Alexandria.

POSCAR file:
```
Ho3AlNi3
1.0
4.080 0.000 0.000
-2.040 4.964 0.000
0.000 0.000 13.121
Al Ho Ni
2 6 6
Cartesian
2.040 0.000 0.000
2.040 0.000 6.561
0.000 4.904 9.841
2.040 2.865 1.371
2.040 0.059 3.280
0.000 2.099 11.750
2.040 2.865 5.189
0.000 2.099 7.932
2.040 4.196 11.951
0.000 2.090 3.280
0.000 0.768 5.390
2.040 4.196 7.731
0.000 0.768 1.170
2.040 2.874 9.841
```

=====

*ii*
The following is a PBE-GGA calculation of Ho3AlNi3 after structural relaxation, from Alexandria.

POSCAR file:
```
Ho3AlNi3
1.0
-2.243 -4.823 -0.425
5.403 -2.988 5.397
-7.132 3.086 2.619
Ni Ho Al
6 6 2
Cartesian
1.189 -2.212 2.083
-5.160 -2.512 5.508
-2.590 -3.444 2.512
-1.381 -1.280 5.079
2.185 -3.014 5.932
-6.156 -1.710 1.659
-2.598 -3.685 5.290
-3.756 -0.258 6.009
1.442 -5.590 5.586
-1.373 -1.040 2.301
-5.413 0.865 2.005
-0.215 -4.466 1.582
0.664 -2.169 4.365
-4.636 -2.555 3.226
```

=====

How do the energies compare? Relative to the most stable structure, in eV/atom: *i* 0.000; *ii* 0.319.

=====

*i*
The following is a PBE-GGA calculation of Ho2AlNi after structural relaxation, from Alexandria.

POSCAR file:
```
Ho2AlNi
1.0
-0.389 1.186 -3.158
-1.233 -3.009 -0.978
-6.771 2.232 1.671
Ho Ni Al
2 1 1
Cartesian
-1.520 0.501 0.375
-5.251 1.731 1.296
-0.811 -0.912 -2.068
-4.197 0.204 -1.233
```

=====

*ii*
The following is a PBE-GGA calculation of Ho2AlNi after structural relaxation, from Alexandria.

POSCAR file:
```
Ho2AlNi
1.0
-2.651 -1.565 1.194
-1.130 -2.715 -1.502
4.527 -6.943 5.514
Ni Al Ho
1 1 2
Cartesian
0.000 0.000 0.000
0.373 -5.612 2.603
3.043 -5.529 4.074
-2.297 -5.695 1.132
```

=====

*iii*
The following is a PBE-GGA calculation of Ho2AlNi after structural relaxation, from Alexandria.

POSCAR file:
```
Ho2AlNi
1.0
-1.030 -3.262 3.573
-0.949 -4.715 -1.154
3.269 -3.532 1.142
Al Ho Ni
1 2 1
Cartesian
0.000 0.000 0.000
0.967 -8.631 2.670
0.322 -2.877 0.890
0.645 -5.754 1.780
```

=====

How do the energies compare? Relative to the most stable structure, in eV/atom: *i* 0.000; *ii* 0.674; *iii* 0.074.